1.
Tl3SnPb4: optimized geometry, GGA-PBE.

Output
Total magnetic moment (μB/f.u.): 0.00
DFT formation energy (kJ/mol of atoms): 1.2

The structure in CIF format:
```
data_Tl3SnPb4
_symmetry_space_group_name_H-M 'P m n 21'
_symmetry_Int_Tables_number 31
_cell_length_a 7.1566
_cell_length_b 7.2059
_cell_length_c 9.5151
_cell_angle_alpha 90.00
_cell_angle_beta 90.00
_cell_angle_gamma 90.00
loop_
_symmetry_equiv_pos_as_xyz
'x,y,z'
'-x+1/2,-y,z+1/2'
'-x,y,z'
'x+1/2,-y,z+1/2'
loop_
_atom_site_label
_atom_site_type_symbol
_atom_site_fract_x
_atom_site_fract_y
_atom_site_fract_z
Tl1 Tl 0.0000 0.9995 0.0000
Tl2 Tl 0.2500 0.2520 0.2498
Sn1 Sn 0.0000 0.5003 0.0002
Pb1 Pb 0.0000 0.0001 0.5000
Pb2 Pb 0.0000 0.4997 0.4999
Pb3 Pb 0.2499 0.2559 0.7503
```

=====

2.
Tl3Sn3Pb: optimized geometry, GGA-PBE.

Output
Total magnetic moment (μB/f.u.): 0.00
DFT formation energy (kJ/mol of atoms): 2.4

The structure in CIF format:
```
data_Tl3Sn3Pb
_symmetry_space_group_name_H-M 'R -3'
_symmetry_Int_Tables_number 148
_symmetry_space_group_name_Hall '-R 3'
_cell_length_a 9.1769
_cell_length_b 9.1769
_cell_length_c 17.2130
_cell_angle_alpha 90.00
_cell_angle_beta 90.00
_cell_angle_gamma 120.00
loop_
_atom_site_label
_atom_site_type_symbol
_atom_site_fract_x
_atom_site_fract_y
_atom_site_fract_z
Tl1 Tl 0.0473 0.2406 0.4159
Sn1 Sn 0.0482 0.2270 0.9197
Pb1 Pb 0.0000 0.0000 0.2435
```

=====

3.
Tl2SnPb5: optimized geometry, GGA-PBE.

Output
Total magnetic moment (μB/f.u.): 0.00
DFT formation energy (kJ/mol of atoms): 4.9

The structure in CIF format:
```
data_Tl2SnPb5
_symmetry_space_group_name_H-M 'I 4/m m m'
_symmetry_Int_Tables_number 139
_symmetry_space_group_name_Hall '-I 4 2'
_cell_length_a 8.3888
_cell_length_b 8.3888
_cell_length_c 7.0615
_cell_angle_alpha 90.00
_cell_angle_beta 90.00
_cell_angle_gamma 90.00
loop_
_atom_site_label
_atom_site_type_symbol
_atom_site_fract_x
_atom_site_fract_y
_atom_site_fract_z
Tl1 Tl 0.0000 0.5000 0.0000
Sn1 Sn 0.0000 0.0000 0.0000
Pb1 Pb 0.0000 0.0000 0.5000
Pb2 Pb 0.2500 0.2500 0.2500
```

=====

4.
Tl5SnPb4: optimized geometry, GGA-PBE.

Output
Total magnetic moment (μB/f.u.): 0.00
DFT formation energy (kJ/mol of atoms): 0.0

The structure in CIF format:
```
data_Tl5SnPb4
_symmetry_space_group_name_H-M 'P 4/m m m'
_symmetry_Int_Tables_number 123
_symmetry_space_group_name_Hall '-P 4 2'
_cell_length_a 3.4687
_cell_length_b 3.4687
_cell_length_c 25.5833
_cell_angle_alpha 90.00
_cell_angle_beta 90.00
_cell_angle_gamma 90.00
loop_
_atom_site_label
_atom_site_type_symbol
_atom_site_fract_x
_atom_site_fract_y
_atom_site_fract_z
Tl1 Tl 0.0000 0.0000 0.0000
Tl2 Tl 0.0000 0.0000 0.2021
Tl3 Tl 0.0000 0.0000 0.4050
Sn1 Sn 0.5000 0.5000 0.5000
Pb1 Pb 0.5000 0.5000 0.1008
Pb2 Pb 0.5000 0.5000 0.3035
```

=====

5.
Tl12SnPb2: optimized geometry, GGA-PBE.

Output
Total magnetic moment (μB/f.u.): 0.00
DFT formation energy (kJ/mol of atoms): 12.2

The structure in CIF format:
```
data_Tl12SnPb2
_symmetry_space_group_name_H-M 'P 4/n b m'
_symmetry_Int_Tables_number 125
_cell_length_a 6.7315
_cell_length_b 6.7315
_cell_length_c 22.1616
_cell_angle_alpha 90.00
_cell_angle_beta 90.00
_cell_angle_gamma 90.00
loop_
_symmetry_equiv_pos_as_xyz
'x,y,z'
'-x,-y,-z'
'-y+1/2,x,z'
'y+1/2,-x,-z'
'-x+1/2,-y+1/2,z'
'x+1/2,y+1/2,-z'
'y,-x+1/2,z'
'-y,x+1/2,-z'
'x,-y+1/2,-z'
'-x,y+1/2,z'
'-y+1/2,-x+1/2,-z'
'y+1/2,x+1/2,z'
'-x+1/2,y,-z'
'x+1/2,-y,z'
'y,x,-z'
'-y,-x,z'
loop_
_atom_site_label
_atom_site_type_symbol
_atom_site_fract_x
_atom_site_fract_y
_atom_site_fract_z
Tl1 Tl 0.0005 0.9995 0.0946
Tl2 Tl 0.0783 0.5783 0.4313
Tl3 Tl 0.2500 0.2500 0.1978
Tl4 Tl 0.2500 0.2500 0.3341
Sn1 Sn 0.2500 0.7500 0.0000
Pb1 Pb 0.2500 0.7500 0.2819
```

=====

6.
TlSn6Pb: optimized geometry, GGA-PBE.

Output
Total magnetic moment (μB/f.u.): 0.00
DFT formation energy (kJ/mol of atoms): 6.8

The structure in CIF format:
```
data_TlSn6Pb
_symmetry_space_group_name_H-M 'A m m 2'
_symmetry_Int_Tables_number 38
_cell_length_a 5.8345
_cell_length_b 6.8244
_cell_length_c 11.5068
_cell_angle_alpha 90.00
_cell_angle_beta 90.00
_cell_angle_gamma 90.00
loop_
_symmetry_equiv_pos_as_xyz
'x,y,z'
'-x,-y,z'
'-x,y,z'
'x,-y,z'
'x,y+1/2,z+1/2'
'-x,-y+1/2,z+1/2'
'-x,y+1/2,z+1/2'
'x,-y+1/2,z+1/2'
loop_
_atom_site_label
_atom_site_type_symbol
_atom_site_fract_x
_atom_site_fract_y
_atom_site_fract_z
Tl1 Tl 0.0000 0.0000 0.0000
Sn1 Sn 0.0000 0.0000 0.4798
Sn2 Sn 0.0000 0.2305 0.7387
Sn3 Sn 0.5000 0.0000 0.8053
Sn4 Sn 0.5000 0.2255 0.5374
Pb1 Pb 0.5000 0.0000 0.2702
```

=====

Q: The highest DFT formation energy belongs to which entry?
A: Tl12SnPb2

=====

Q: total magnetic moment of number 3 (Tl2SnPb5)?
A: 0.00 μB/f.u.